## PbWF5 (PBE with a Hubbard U)

Data for an optimized crystal structure of PbWF5.

POSCAR file:
```
PbWF5
1.0
4.910 -3.611 0.000
4.910 3.611 0.000
-3.401 0.000 7.540
Pb W F
2 2 10
Cartesian
2.359 3.398 5.655
4.059 -3.398 1.885
4.910 0.000 0.000
3.209 0.000 3.770
3.315 2.110 3.494
4.804 2.110 0.276
-0.397 0.016 6.674
1.304 -0.016 2.904
2.359 0.566 5.655
4.059 -0.566 1.885
5.114 0.016 4.635
6.815 -0.016 0.866
1.614 -2.110 7.264
3.103 -2.110 4.046
```

Computed properties:
DOS at the Fermi energy: 0.000 states/eV/atom
space-group type: C2/c, No. 15
total DFT energy (no corrections): -75.54 eV for the cell shown